1.
DFT (SCAN) results for SrLa2Ag at its PBEsol-relaxed geometry.

```
data_SrLa2Ag
_chemical_formula_sum 'Sr2 La4 Ag2'
_symmetry_space_group_name_H-M 'C 1 2/m 1'
_symmetry_Int_Tables_number 12
_cell_length_a 6.510
_cell_length_b 11.975
_cell_length_c 3.595
_cell_angle_alpha 90.00
_cell_angle_beta 117.18
_cell_angle_gamma 90.00
loop_
_symmetry_equiv_pos_as_xyz
'x,y,z'
'-x,-y,-z'
'-x,y,-z'
'x,-y,z'
'x+1/2,y+1/2,z'
'-x+1/2,-y+1/2,-z'
'-x+1/2,y+1/2,-z'
'x+1/2,-y+1/2,z'
loop_
_atom_site_label
_atom_site_type_symbol
_atom_site_fract_x
_atom_site_fract_y
_atom_site_fract_z
_atom_site_occupancy
Sr1 Sr 0.000 0.000 0.000 1
La1 La 0.250 0.250 0.500 1
Ag1 Ag 0.000 0.500 0.000 1
```

Calculated values
* total magnetization: 0.0000 μB/atom
* energy of formation: 0.12 eV/atom


2.
DFT (SCAN) results for SrLa2Ag at its PBEsol-relaxed geometry.

```
data_SrLa2Ag
_chemical_formula_sum 'Sr3 La6 Ag3'
_symmetry_space_group_name_H-M 'R 3 m'
_symmetry_Int_Tables_number 160
_symmetry_space_group_name_Hall 'R 3 -2"'
_cell_length_a 3.8287
_cell_length_b 3.8287
_cell_length_c 32.2636
_cell_angle_alpha 90.00
_cell_angle_beta 90.00
_cell_angle_gamma 120.00
loop_
_atom_site_label
_atom_site_type_symbol
_atom_site_fract_x
_atom_site_fract_y
_atom_site_fract_z
_atom_site_occupancy
Sr1 Sr 0.0000 0.0000 0.0000 1
La1 La 0.0000 0.0000 0.2283 1
La2 La 0.0000 0.0000 0.4726 1
Ag1 Ag 0.0000 0.0000 0.7376 1
```

Calculated values
* total magnetization: 0.0332 μB/atom
* energy of formation: 0.02 eV/atom


3.
DFT (SCAN) results for SrLaAg at its PBEsol-relaxed geometry.

```
data_SrLaAg
_chemical_formula_sum 'Sr2 La2 Ag2'
_symmetry_space_group_name_H-M 'I 4 m m'
_symmetry_Int_Tables_number 107
_symmetry_space_group_name_Hall 'I 4 -2'
_cell_length_a 3.780
_cell_length_b 3.780
_cell_length_c 13.772
_cell_angle_alpha 90.00
_cell_angle_beta 90.00
_cell_angle_gamma 90.00
loop_
_atom_site_label
_atom_site_type_symbol
_atom_site_fract_x
_atom_site_fract_y
_atom_site_fract_z
_atom_site_occupancy
Sr1 Sr 0.000 0.000 0.000 1
La1 La 0.000 0.000 0.730 1
Ag1 Ag 0.000 0.000 0.355 1
```

Calculated values
* total magnetization: 0.0102 μB/atom
* energy of formation: -0.15 eV/atom